1.
Ba3ZrCu: optimized geometry, PBE.

Calculated values
Crystal system: cubic
ΔH_f (0 K), eV per atom: 0.609
Symmetry: No. 221
Distance to the lowest polymorph of the same formula, kJ/mol of atoms: 0.00
DOS(E_F), states/eV/cell: 8.397

Cell lengths 6.1450, 6.1450, 6.1450 Å; angles 90.00, 90.00, 90.00 degrees
With the nearest neighbours (Å) after each atom.
Element x y z (fractional)
Cu: 0.0000 0.0000 0.0000  6 Ba 3.07
Ba: 0.0000 0.5000 0.0000  2 Cu 3.07
Ba: 0.0000 0.0000 0.5000  2 Cu 3.07
Ba: 0.5000 0.0000 0.0000  2 Cu 3.07
Zr: 0.5000 0.5000 0.5000  12 Ba 4.35


2.
Li2CoSb: optimized geometry, PBE.

Calculated values
Final energy, eV/atom: -3.894
Crystal system: orthorhombic
Symmetry: No. 71
DOS(E_F), states/eV/cell: 2.360

Cell lengths 5.1657, 5.1657, 4.1065 Å; angles 66.65, 66.65, 37.36 degrees
With the nearest neighbours (Å) after each atom.
Element x y z (fractional)
Co: 0.7500 0.7500 0.7500  4 Sb 2.64, 4 Li 2.69
Li: 0.0116 0.0116 0.9885  4 Li 2.64-2.65, 2 Co 2.69, 4 Sb 2.85-2.95
Li: 0.4884 0.4884 0.5115  4 Li 2.64-2.65, 2 Co 2.69, 4 Sb 2.85-2.95
Sb: 0.2500 0.2500 0.2500  4 Co 2.64, 8 Li 2.85-2.95


3.
Cs2CaCu: optimized geometry, PBE.

Calculated values
Crystal system: cubic
ΔH_f (0 K), eV per atom: 0.558
Symmetry: No. 225
Distance to the lowest polymorph of the same formula, kJ/mol of atoms: 21.09
DOS(E_F), states/eV/cell: 3.720

Cell lengths 6.8484, 6.8484, 6.8484 Å; angles 60.00, 60.00, 60.00 degrees
With the nearest neighbours (Å) after each atom.
Element x y z (fractional)
Cs: 0.2500 0.2500 0.2500  4 Cu 4.19, 4 Ca 4.19
Cs: 0.7500 0.7500 0.7500  4 Ca 4.19, 4 Cu 4.19
Ca: 0.0000 0.0000 0.0000  8 Cs 4.19
Cu: 0.5000 0.5000 0.5000  8 Cs 4.19


4.
HRuSe2: optimized geometry, PBE.

Calculated values
Crystal system: cubic
Symmetry: No. 225
Distance to the lowest polymorph of the same formula, kJ/mol of atoms: 42.84
DOS(E_F), states/eV/cell: 2.074

Cell lengths 4.2728, 4.2728, 4.2728 Å; angles 60.00, 60.00, 60.00 degrees
With the nearest neighbours (Å) after each atom.
Element x y z (fractional)
Ru: 0.5000 0.5000 0.5000  8 Se 2.62
Se: 0.2500 0.2500 0.2500  4 Ru 2.62, 4 H 2.62
Se: 0.7500 0.7500 0.7500  4 Ru 2.62, 4 H 2.62
H: 0.0000 0.0000 0.0000  8 Se 2.62


5.
Pm2PrPd3: optimized geometry, PBE.

Calculated values
Crystal system: tetragonal
ΔH_f (0 K), eV per atom: -0.747
Symmetry: No. 123
DOS(E_F), states/eV/cell: 4.991

Cell lengths 3.6105, 3.6105, 10.8734 Å; angles 90.00, 90.00, 90.00 degrees
With the nearest neighbours (Å) after each atom.
Element x y z (fractional)
Pm: 0.5000 0.5000 0.8349  8 Pd 3.10-3.12
Pm: 0.5000 0.5000 0.1651  8 Pd 3.10-3.12
Pr: 0.5000 0.5000 0.5000  8 Pd 3.18
Pd: 0.0000 0.0000 0.0000  8 Pm 3.12
Pd: 0.0000 0.0000 0.6738  4 Pm 3.10, 4 Pr 3.18
Pd: 0.0000 0.0000 0.3262  4 Pm 3.10, 4 Pr 3.18


6.
Sm2RuPb: optimized geometry, PBE.

Calculated values
Crystal system: trigonal
ΔH_f (0 K), eV per atom: -0.199
Symmetry: No. 166
Distance to the lowest polymorph of the same formula, kJ/mol of atoms: 18.10
DOS(E_F), states/eV/cell: 3.493

Cell lengths 3.7141, 3.7141, 9.4022 Å; angles 78.61, 78.61, 60.00 degrees
With the nearest neighbours (Å) after each atom.
Element x y z (fractional)
Pb: 0.5000 0.5000 0.5000  6 Sm 3.47, 6 Pb 3.71
Ru: 0.0000 0.0000 0.0000  6 Sm 2.83
Sm: 0.2658 0.2658 0.2025  3 Ru 2.83
Sm: 0.7342 0.7342 0.7975  3 Ru 2.83


7.
Cs2CdBi4Pb3: optimized geometry, PBE.

Calculated values
Crystal system: tetragonal
ΔH_f (0 K), eV per atom: -0.182
Symmetry: No. 115
DOS(E_F), states/eV/cell: 4.162

Cell lengths 5.4135, 5.4135, 13.8505 Å; angles 90.00, 90.00, 90.00 degrees
With the nearest neighbours (Å) after each atom.
Element x y z (fractional)
Cs: 0.5000 0.0000 0.2528  6 Pb 4.20-4.36, 8 Bi 4.21-4.43, 2 Cd 4.36
Cs: 0.0000 0.5000 0.7472  6 Pb 4.20-4.36, 8 Bi 4.21-4.43, 2 Cd 4.36
Cd: 0.5000 0.5000 0.5000  4 Bi 3.18
Bi: 0.5000 0.5000 0.0000  4 Pb 3.24
Bi: 0.0000 0.0000 0.0000  4 Pb 3.24
Bi: 0.5000 0.0000 0.6212  2 Cd 3.18, 3 Pb 3.18-3.47
Bi: 0.0000 0.5000 0.3788  2 Cd 3.18, 3 Pb 3.18-3.47
Pb: 0.0000 0.0000 0.5000  4 Bi 3.18
Pb: 0.5000 0.0000 0.8715  5 Bi 3.24-3.47
Pb: 0.0000 0.5000 0.1285  5 Bi 3.24-3.47


8.
K3Y3NpO8: optimized geometry, PBE.

Calculated values
Final energy, eV/atom: -7.808
Crystal system: trigonal
Symmetry: No. 166
DOS(E_F), states/eV/cell: 11.091

Cell lengths 6.9783, 6.9782, 7.5138 Å; angles 117.69, 90.00, 120.00 degrees
With the nearest neighbours (Å) after each atom.
Element x y z (fractional)
K: 0.0000 0.0000 0.0000  6 O 2.85-2.86
K: 0.0000 0.5000 0.0000  6 O 2.86
K: 0.5000 0.5000 0.0000  6 O 2.86
Y: 0.5000 0.0000 0.5000  6 O 2.32-2.33
Y: 0.5000 0.5000 0.5000  6 O 2.32-2.33
Y: 0.0000 0.5000 0.5000  6 O 2.32-2.33
Np: 0.0000 0.0000 0.5000  6 O 2.24
O: 0.2729 0.5459 0.3190  3 Y 2.32
O: 0.7271 0.4541 0.6810  3 Y 2.32
O: 0.7802 0.5604 0.3244  1 Np 2.24, 2 Y 2.33
O: 0.2198 0.4396 0.6756  1 Np 2.24, 2 Y 2.33
O: 0.7802 0.0441 0.3244  1 Np 2.24, 2 Y 2.33
O: 0.2198 0.9559 0.6756  1 Np 2.24, 2 Y 2.33
O: 0.2639 0.0441 0.3244  1 Np 2.24, 2 Y 2.33
O: 0.7361 0.9559 0.6756  1 Np 2.24, 2 Y 2.33


9.
RbSnGe2N: optimized geometry, PBE.

Calculated values
Final energy, eV/atom: -1.733
Crystal system: tetragonal
Symmetry: No. 123
DOS(E_F), states/eV/cell: 10.019

Cell lengths 5.6139, 6.1935, 5.6139 Å; angles 90.00, 90.00, 90.00 degrees
With the nearest neighbours (Å) after each atom.
Element x y z (fractional)
Ge: 0.0000 0.0000 0.5000  2 Rb 2.81
Ge: 0.5000 0.0000 0.0000  2 Rb 2.81
Sn: 0.0000 0.5000 0.0000  2 Rb 3.10
Rb: 0.0000 0.0000 0.0000  4 Ge 2.81, 2 Sn 3.10
N: 0.5000 0.5000 0.5000  4 Sn 3.97, 8 Ge 4.18


10.
Si2NiAg: optimized geometry, PBE.

Calculated values
Crystal system: tetragonal
Symmetry: No. 139
Distance to the lowest polymorph of the same formula, kJ/mol of atoms: 24.41
DOS(E_F), states/eV/cell: 2.297

Cell lengths 4.6921, 4.6921, 4.6921 Å; angles 131.59, 131.59, 70.87 degrees
With the nearest neighbours (Å) after each atom.
Element x y z (fractional)
Ag: 0.2500 0.7500 0.5000  8 Si 2.71, 4 Ni 2.72
Ni: 0.7500 0.2500 0.5000  8 Si 2.71, 4 Ag 2.72
Si: 0.0000 0.0000 0.0000  4 Ni 2.71, 4 Ag 2.71, 4 Si 2.72
Si: 0.5000 0.5000 0.0000  4 Ag 2.71, 4 Ni 2.71, 4 Si 2.72


11.
TaAlPt2: optimized geometry, PBE.

Calculated values
Crystal system: monoclinic
ΔH_f (0 K), eV per atom: -0.752
Symmetry: No. 6
DOS(E_F), states/eV/cell: 1.349

Cell lengths 4.4201, 2.8214, 5.3629 Å; angles 74.31, 90.00, 90.00 degrees
With the nearest neighbours (Å) after each atom.
Element x y z (fractional)
Al: 0.5000 0.7796 0.8167  7 Pt 2.70-2.83, 2 Al 2.82
Pt: 0.0000 0.2183 0.9441  1 Ta 2.56, 4 Al 2.70-2.71, 4 Pt 2.82-2.84
Pt: 0.5000 0.0421 0.2908  3 Al 2.72-2.83, 4 Ta 2.74-2.75, 4 Pt 2.82-2.84
Ta: 0.0000 0.4600 0.4483  5 Pt 2.56-2.75, 2 Ta 2.82


12.
Sm5PuPb4: optimized geometry, PBE.

Calculated values
Crystal system: monoclinic
ΔH_f (0 K), eV per atom: -0.121
Symmetry: No. 12
DOS(E_F), states/eV/cell: 17.300

Cell lengths 3.6948, 9.9823, 9.1795 Å; angles 92.00, 101.61, 90.00 degrees
With the nearest neighbours (Å) after each atom.
Element x y z (fractional)
Sm: 0.8094 0.6169 0.6188  1 Pb 3.18
Sm: 0.8470 0.2359 0.6941  4 Pb 3.24-3.58
Sm: 0.1530 0.7641 0.3059  4 Pb 3.24-3.58
Sm: 0.5000 0.5000 0.0000  4 Pb 3.15
Sm: 0.1906 0.3831 0.3812  1 Pb 3.18
Pu: 0.5000 0.0000 0.0000  6 Pb 3.14-3.32
Pb: 0.3180 0.9314 0.6361  1 Pu 3.32, 5 Sm 3.35-3.64, 4 Pb 3.39-3.69
Pb: 0.9729 0.7491 0.9459  2 Pu 3.14, 4 Sm 3.15-3.24
Pb: 0.6820 0.0686 0.3639  1 Pu 3.32, 5 Sm 3.35-3.64, 4 Pb 3.39-3.69
Pb: 0.0271 0.2509 0.0541  2 Pu 3.14, 4 Sm 3.15-3.24


13.
Pm3HgPd8: optimized geometry, PBE.

Calculated values
Crystal system: trigonal
ΔH_f (0 K), eV per atom: -0.717
Symmetry: No. 160
DOS(E_F), states/eV/cell: 5.635

Cell lengths 5.4670, 5.4670, 9.5039 Å; angles 73.28, 73.28, 60.00 degrees
With the nearest neighbours (Å) after each atom.
Element x y z (fractional)
Pm: 0.3781 0.3781 0.8658  12 Pd 3.16-3.25, 4 Pm 3.48
Pm: 0.9906 0.9906 0.0283  12 Pd 3.07-3.42, 1 Hg 3.23
Pm: 0.5076 0.5076 0.4771  12 Pd 3.08-3.33, 3 Hg 3.25
Hg: 0.8703 0.8703 0.3890  12 Pd 3.12-3.30, 4 Pm 3.23-3.25
Pd: 0.9423 0.4372 0.1833  6 Pd 2.71-2.76
Pd: 0.4356 0.9376 0.6893  6 Pd 2.72-2.76
Pd: 0.4372 0.4372 0.1833  6 Pd 2.71-2.76
Pd: 0.9376 0.9376 0.6893  6 Pd 2.72-2.76
Pd: 0.1879 0.1879 0.4362  6 Pd 2.75-2.76
Pd: 0.6880 0.6880 0.9360  6 Pd 2.72-2.73
Pd: 0.4372 0.9423 0.1833  6 Pd 2.71-2.76
Pd: 0.9376 0.4356 0.6893  6 Pd 2.72-2.76


14.
ReSe2Cl12: optimized geometry, PBE.

Calculated values
Final energy, eV/atom: -3.204
Crystal system: orthorhombic
Symmetry: No. 43

Cell lengths 12.8506, 12.6812, 9.1394 Å; angles 70.02, 68.04, 41.94 degrees
With the nearest neighbours (Å) after each atom.
Element x y z (fractional)
Re: 0.9188 0.9188 0.0812  6 Cl 2.36-2.39
Re: 0.1688 0.1688 0.3312  6 Cl 2.36-2.39
Se: 0.2680 0.7382 0.2622  3 Cl 2.20-2.22
Se: 0.7382 0.2680 0.7316  3 Cl 2.20-2.22
Se: 0.9878 0.5184 0.9820  3 Cl 2.20-2.22
Se: 0.5184 0.9878 0.5118  3 Cl 2.20-2.22
Cl: 0.9627 0.3947 0.9013  1 Se 2.20
Cl: 0.2732 0.2199 0.0721  1 Re 2.39
Cl: 0.0646 0.1246 0.5909  1 Re 2.36
Cl: 0.4266 0.9149 0.3614  1 Re 2.37
Cl: 0.6555 0.5006 0.7055  1 Se 2.22
Cl: 0.1779 0.8151 0.9768  1 Re 2.39
Cl: 0.1246 0.0646 0.2200  1 Re 2.36
Cl: 0.9530 0.8886 0.3351  1 Re 2.37
Cl: 0.7222 0.2723 0.4966  1 Se 2.21
Cl: 0.2199 0.2732 0.4349  1 Re 2.39
Cl: 0.1116 0.5445 0.7494  1 Se 2.22
Cl: 0.5006 0.6555 0.1384  1 Se 2.22
Cl: 0.3487 0.5087 0.2873  1 Se 2.20
Cl: 0.8151 0.1779 0.0301  1 Re 2.39
Cl: 0.7534 0.7410 0.5278  1 Se 2.21
Cl: 0.3947 0.9627 0.7413  1 Se 2.20
Cl: 0.6591 0.0300 0.1854  1 Re 2.36
Cl: 0.5087 0.3487 0.8553  1 Se 2.20
Cl: 0.5445 0.1116 0.5945  1 Se 2.22
Cl: 0.0300 0.6591 0.1254  1 Re 2.36
Cl: 0.9149 0.4266 0.2970  1 Re 2.37
Cl: 0.7410 0.7534 0.9777  1 Se 2.21
Cl: 0.2723 0.7222 0.5090  1 Se 2.21
Cl: 0.8886 0.9530 0.8234  1 Re 2.37


15.
Na3LiCd12: optimized geometry, PBE.

Calculated values
Crystal system: tetragonal
ΔH_f (0 K), eV per atom: -0.083
Symmetry: No. 123
DOS(E_F), states/eV/cell: 7.403

Cell lengths 4.5479, 4.5479, 17.7919 Å; angles 90.00, 90.00, 90.00 degrees
With the nearest neighbours (Å) after each atom.
Element x y z (fractional)
Na: 0.0000 0.0000 0.2440  12 Cd 3.21-3.22
Na: 0.0000 0.0000 0.5000  12 Cd 3.22
Na: 0.0000 0.0000 0.7560  12 Cd 3.21-3.22
Li: 0.0000 0.0000 0.0000  12 Cd 3.08-3.22
Cd: 0.5000 0.5000 0.0000  8 Cd 3.08, 4 Li 3.22
Cd: 0.5000 0.5000 0.2431  8 Cd 3.20-3.22, 4 Na 3.22
Cd: 0.5000 0.5000 0.5000  4 Na 3.22, 8 Cd 3.22
Cd: 0.5000 0.5000 0.7569  8 Cd 3.20-3.22, 4 Na 3.22
Cd: 0.5000 0.0000 0.1164  8 Cd 3.08-3.22, 2 Li 3.08, 2 Na 3.21
Cd: 0.5000 0.0000 0.3716  4 Na 3.21-3.22, 8 Cd 3.22
Cd: 0.5000 0.0000 0.6284  4 Na 3.21-3.22, 8 Cd 3.22
Cd: 0.5000 0.0000 0.8836  8 Cd 3.08-3.22, 2 Li 3.08, 2 Na 3.21
Cd: 0.0000 0.5000 0.1164  8 Cd 3.08-3.22, 2 Li 3.08, 2 Na 3.21
Cd: 0.0000 0.5000 0.3716  4 Na 3.21-3.22, 8 Cd 3.22
Cd: 0.0000 0.5000 0.6284  4 Na 3.21-3.22, 8 Cd 3.22
Cd: 0.0000 0.5000 0.8836  8 Cd 3.08-3.22, 2 Li 3.08, 2 Na 3.21


16.
ZrAl2Cu: optimized geometry, PBE.

Calculated values
Crystal system: hexagonal
ΔH_f (0 K), eV per atom: -0.111
Symmetry: No. 194
DOS(E_F), states/eV/cell: 4.115

Cell lengths 4.4828, 4.4828, 7.8375 Å; angles 90.00, 90.00, 120.00 degrees
With the nearest neighbours (Å) after each atom.
Element x y z (fractional)
Zr: 0.0000 0.0000 0.2500  3 Cu 2.59
Zr: 0.0000 0.0000 0.7500  3 Cu 2.59
Al: 0.3333 0.6667 0.5625  1 Cu 2.45
Al: 0.6667 0.3333 0.0625  1 Cu 2.45
Al: 0.6667 0.3333 0.4375  1 Cu 2.45
Al: 0.3333 0.6667 0.9375  1 Cu 2.45
Cu: 0.3333 0.6667 0.2500  2 Al 2.45, 3 Zr 2.59
Cu: 0.6667 0.3333 0.7500  2 Al 2.45, 3 Zr 2.59


17.
AcPm2Sm: optimized geometry, PBE.

Calculated values
Crystal system: trigonal
ΔH_f (0 K), eV per atom: 0.042
Symmetry: No. 160
Distance to the lowest polymorph of the same formula, kJ/mol of atoms: 1.08
DOS(E_F), states/eV/cell: 5.700

Cell lengths 3.7473, 3.7473, 12.3013 Å; angles 81.24, 81.24, 60.00 degrees
With the nearest neighbours (Å) after each atom.
Element x y z (fractional)
Ac: 0.5000 0.5000 0.4999  6 Ac 3.75, 6 Pm 3.82
Pm: 0.0801 0.0801 0.7598  3 Sm 3.63, 6 Pm 3.75, 3 Ac 3.82
Pm: 0.2533 0.2533 0.2401  3 Sm 3.62, 6 Pm 3.75, 3 Ac 3.82
Sm: 0.6666 0.6666 0.0002  6 Pm 3.62-3.63, 6 Sm 3.75


18.
LaAs4Ir: optimized geometry, PBE.

Calculated values
Crystal system: cubic
ΔH_f (0 K), eV per atom: 0.107
Symmetry: No. 216
DOS(E_F), states/eV/cell: 3.862

Cell lengths 5.5739, 5.5739, 5.5739 Å; angles 60.00, 60.00, 60.00 degrees
With the nearest neighbours (Å) after each atom.
Element x y z (fractional)
La: 0.0000 0.0000 0.0000  12 As 3.27, 4 Ir 3.41
As: 0.8704 0.3765 0.3765  6 As 2.75-2.82
As: 0.3765 0.3765 0.8704  6 As 2.75-2.82
As: 0.3765 0.8704 0.3765  6 As 2.75-2.82
As: 0.3765 0.3765 0.3765  6 As 2.75-2.82
Ir: 0.7500 0.7500 0.7500  12 As 3.26, 4 La 3.41